Entry 1:
# MnZn2Rh2

A geometry-optimized MnZn2Rh2 structure (GGA-PBE, Alexandria via LeMat-Bulk).

Summary:
Formation enthalpy at 0 K in kJ/mol of formula units: -114
Polymorph energy (0 for the lowest one) in meV/atom: 0
Magnetization in μB per atom: 0.712
Theoretical density in g/cm³: 9.338

a b c (Å): 8.294 3.871 5.874
angles (deg): 90.00 132.40 90.00
Space group C2/m (No. 12)
One atom of each set of equivalent atoms:
Mn  0.000  0.000  0.000 x2
Zn  0.196  0.000  0.602 x4
Rh  0.089  0.500  0.801 x4

***

Entry 2:
# Hf2Ni2Sb

A geometry-optimized Hf2Ni2Sb structure (GGA-PBE, Alexandria via LeMat-Bulk).

Summary:
Polymorph energy (0 for the lowest one) in meV/atom: 360
Magnetization in μB per atom: 0.000
Theoretical density in g/cm³: 10.731
ΔE_f (raw) in eV/atom: -0.1941

a b c (Å): 7.576 7.576 3.215
angles (deg): 90.00 90.00 90.00
Space group P4/mbm (No. 127)
One atom of each set of equivalent atoms:
Hf  0.156  0.344  0.000 x4
Ni  0.125  0.625  0.500 x4
Sb  0.000  0.000  0.000 x2

***

Entry 3:
# La2Pm2YHg5

A geometry-optimized La2Pm2YHg5 structure (GGA-PBE, Alexandria via LeMat-Bulk).

Summary:
Formation enthalpy at 0 K in kJ/mol of formula units: -331
Magnetization in μB per atom: 0.000
Theoretical density in g/cm³: 9.667

a b c (Å): 11.136 11.136 4.598
angles (deg): 90.00 90.00 90.00
Space group P4/mbm (No. 127)
One atom of each set of equivalent atoms:
La  0.176  0.324  0.000 x4
Pm  0.128  0.628  0.000 x4
Y  0.000  0.000  0.000 x2
Hg  0.000  0.500  0.500 x2
Hg  0.081  0.817  0.500 x8

***

Entry 4:
# ThSc7Tl2

A geometry-optimized ThSc7Tl2 structure (GGA-PBE, Alexandria via LeMat-Bulk).

Summary:
Formation enthalpy at 0 K in kJ/mol of formula units: 371
Magnetization in μB per atom: 0.000
Theoretical density in g/cm³: 5.095

a b c (Å): 14.378 8.419 5.145
angles (deg): 90.00 90.05 90.00
Space group C2/m (No. 12)
One atom of each set of equivalent atoms:
Th  0.000  0.000  0.000 x2
Sc  0.000  0.500  0.500 x2
Sc  0.117  0.178  0.500 x8
Sc  0.223  0.000  0.000 x4
Tl  0.197  0.500  0.499 x4

***

Entry 5:
# NaTlAuS2

A geometry-optimized NaTlAuS2 structure (GGA-PBE, Alexandria via LeMat-Bulk).

Summary:
Magnetization in μB per atom: 0.000
Theoretical density in g/cm³: 6.447
ΔE_f (raw) in eV/atom: -0.4068

a b c (Å): 6.798 5.014 7.972
angles (deg): 90.00 112.17 90.00
Space group P2/c (No. 13)
One atom of each set of equivalent atoms:
Na  0.000  0.228  0.250 x2
Tl  0.500  0.412  0.750 x2
Au  0.500  0.000  0.000 x2
S  0.219  0.279  0.995 x4

***

Q: magnetization of number 5 (NaTlAuS2)?
A: 0.000 μB per atom